No. 1
The following is a PBE calculation of a relaxed GeS3O crystal, from Alexandria via LeMat-Bulk.

a b c (Å): 4.6219 4.6219 4.6219
angles (deg): 90.00 90.00 90.00
Closest atoms and distances in Å follow each position.
Space group Pm-3m (No. 221)
Unique sites:
Ge  0.0000  0.0000  0.0000 x1  6 S 2.31
S  0.0000  0.0000  0.5000 x3  2 Ge 2.31
O  0.5000  0.5000  0.5000 x1  12 S 3.27

Results
Formation energy (no corrections)   1251 meV/atom
Energy relative to the lowest polymorph listed for this composition   0.588 eV per atom

***

No. 2
The following is a PBE calculation of a relaxed BC5 crystal, from Alexandria via LeMat-Bulk.

a b c (Å): 2.5256 2.5256 11.3170
angles (deg): 90.00 90.00 90.00
Closest atoms and distances in Å follow each position.
Space group P-4m2 (No. 115)
Unique sites:
B  0.0000  0.0000  0.1705 x2  4 C 1.64-1.65
C  0.0000  0.0000  0.5000 x1  4 C 1.54
C  0.0000  0.5000  0.2642 x2  2 C 1.53, 2 B 1.65
C  0.0000  0.5000  0.5786 x2  4 C 1.54-1.56
C  0.0000  0.5000  0.9215 x2  2 C 1.54, 2 B 1.64
C  0.5000  0.5000  0.0000 x1  4 C 1.54
C  0.5000  0.5000  0.3402 x2  4 C 1.53-1.56

Results
Energy relative to the lowest polymorph listed for this composition   0.026 eV per atom
ΔE_f   0.23 eV/atom

***

No. 3
The following is a PBE calculation of a relaxed Zn2Tc2Rh crystal, from Alexandria via LeMat-Bulk.

a b c (Å): 3.3625 3.3625 13.6209
angles (deg): 90.00 90.00 90.00
Closest atoms and distances in Å follow each position.
Space group I4/mmm (No. 139)
Unique sites:
Zn  0.0000  0.5000  0.2500 x4  4 Zn 2.38
Tc  0.0000  0.0000  0.0931 x4  1 Tc 2.54, 4 Rh 2.69, 4 Zn 2.72
Rh  0.0000  0.0000  0.5000 x2  8 Tc 2.69

Results
ΔE_f   0.56 eV/atom

***

No. 4
The following is a PBE calculation of a relaxed KRe2Ru crystal, from Alexandria via LeMat-Bulk.

a b c (Å): 2.9115 5.2857 9.7242
angles (deg): 90.00 90.00 90.00
Closest atoms and distances in Å follow each position.
Space group Imm2 (No. 44)
Unique sites:
K  0.0000  0.0000  0.0000 x2  2 K 2.91, 6 Re 3.02-3.20, 2 Ru 3.15
Re  0.0000  0.0000  0.4987 x2  2 Re 2.48, 2 Ru 2.54
Re  0.0000  0.5000  0.7927 x2  2 Re 2.48
Ru  0.0000  0.5000  0.2129 x2  2 Re 2.54

Results
Energy relative to the lowest polymorph listed for this composition   0.578 eV per atom
ΔE_f   1.28 eV/atom

***

No. 5
The following is a PBE calculation of a relaxed BaTeSN2 crystal, from Alexandria via LeMat-Bulk.

a b c (Å): 5.0718 5.0718 6.3536
angles (deg): 90.00 90.00 90.00
Closest atoms and distances in Å follow each position.
Space group P4/mmm (No. 123)
Unique sites:
Ba  0.0000  0.0000  0.0000 x1  4 N 2.54
Te  0.5000  0.5000  0.5000 x1  4 S 3.59
S  0.0000  0.0000  0.5000 x1  2 Ba 3.18
N  0.0000  0.5000  0.0000 x2  2 Ba 2.54

Results
Formation energy (no corrections)   1593 meV/atom
Energy relative to the lowest polymorph listed for this composition   1.277 eV per atom

***

No. 6
The following is a PBE calculation of a relaxed ZnHg2Sb crystal, from Alexandria via LeMat-Bulk.

a b c (Å): 3.2627 5.4284 5.4994
angles (deg): 90.00 90.00 90.00
Closest atoms and distances in Å follow each position.
Space group Pmmm (No. 47)
Unique sites:
Zn  0.0000  0.0000  0.0000 x1  4 Sb 3.17, 4 Hg 3.20, 2 Zn 3.26
Hg  0.0000  0.5000  0.5000 x1  6 Hg 3.17-3.26, 4 Sb 3.20
Hg  0.5000  0.0000  0.5000 x1  6 Hg 3.17-3.26, 4 Zn 3.20
Sb  0.5000  0.5000  0.0000 x1  4 Zn 3.17, 4 Hg 3.20, 2 Sb 3.26

Results
Formation energy (no corrections)   191 meV/atom
Energy relative to the lowest polymorph listed for this composition   0.112 eV per atom

***

No. 7
The following is a PBE calculation of a relaxed ReAsSe2 crystal, from Alexandria via LeMat-Bulk.

a b c (Å): 3.2342 3.2342 26.4513
angles (deg): 90.00 90.00 120.00
Closest atoms and distances in Å follow each position.
Space group R3m (No. 160, hexagonal axes)
Unique sites:
Re  0.0000  0.0000  0.0000 x3  3 Se 2.49, 3 As 2.65
As  0.0000  0.0000  0.2624 x3  3 Re 2.65, 3 Se 2.75
Se  0.0000  0.0000  0.5196 x3  3 As 2.75
Se  0.0000  0.0000  0.7288 x3  3 Re 2.49

Results
Formation energy (no corrections)   160 meV/atom

***

No. 8
The following is a PBE calculation of a relaxed DyEr2TcO8 crystal, from Alexandria via LeMat-Bulk.

a b c (Å): 7.0587 7.1270 6.6938
angles (deg): 90.00 90.00 90.00
Closest atoms and distances in Å follow each position.
Space group Cmmm (No. 65)
Unique sites:
Dy  0.0000  0.0000  0.0000 x2  6 O 2.18-2.35
Er  0.0000  0.5000  0.2482 x4  6 O 2.14-2.34
Tc  0.0000  0.0000  0.5000 x2  6 O 1.91
O  0.0000  0.1833  0.2918 x8  1 Tc 1.91
O  0.1917  0.5000  0.0000 x4  2 Er 2.14, 1 Dy 2.18
O  0.2296  0.5000  0.5000 x4  1 Tc 1.91

Results
Formation energy (no corrections)   -2658 meV/atom

***

No. 9
The following is a PBE calculation of a relaxed Rb3Dy3PuTe8 crystal, from Alexandria via LeMat-Bulk.

a b c (Å): 8.9426 8.9426 26.1419
angles (deg): 90.00 90.00 120.00
Closest atoms and distances in Å follow each position.
Space group R-3m (No. 166, hexagonal axes)
Unique sites:
Rb  0.0000  0.5000  0.0000 x9  6 Te 3.68-3.70
Dy  0.0000  0.5000  0.5000 x9  6 Te 3.10-3.11
Pu  0.0000  0.0000  0.5000 x3  6 Te 3.10
Te  0.0000  0.0000  0.2331 x6  3 Dy 3.11
Te  0.9998  0.4999  0.2321 x18  2 Dy 3.10, 1 Pu 3.10

Results
Formation energy (no corrections)   -1261 meV/atom

***

No. 10
The following is a PBE calculation of a relaxed DyBeIr crystal, from Alexandria via LeMat-Bulk.

a b c (Å): 5.0604 5.5583 6.9278
angles (deg): 90.00 90.00 90.00
Closest atoms and distances in Å follow each position.
Space group Imma (No. 74)
Unique sites:
Dy  0.0000  0.2500  0.1257 x4  6 Be 2.89-3.17, 6 Ir 2.94-3.02, 2 Dy 3.06
Be  0.2500  0.2500  0.7500 x4  2 Be 2.53, 4 Ir 2.56
Ir  0.0000  0.0000  0.5000 x4  4 Be 2.56, 2 Ir 2.78

Results
Energy relative to the lowest polymorph listed for this composition   0.092 eV per atom
ΔE_f   -0.58 eV/atom

***

No. 11
The following is a PBE calculation of a relaxed Co3PtW crystal, from Alexandria via LeMat-Bulk.

a b c (Å): 8.6100 6.7820 4.6050
angles (deg): 90.00 106.83 90.00
Closest atoms and distances in Å follow each position.
Space group C2/m (No. 12)
Unique sites:
Co  0.0910  0.0000  0.3340 x4  5 Co 2.46-2.49, 3 W 2.49-2.58, 2 Pt 2.54
Co  0.1483  0.3218  0.5876 x8  5 Co 2.34-2.48, 1 W 2.57, 1 Pt 2.58
Pt  0.0000  0.3009  0.0000 x4  6 Co 2.54-2.64, 2 W 2.69, 1 Pt 2.70
W  0.2188  0.0000  0.8929 x4  7 Co 2.49-2.63, 2 Pt 2.69

Results
Energy relative to the lowest polymorph listed for this composition   0.000 eV per atom
ΔE_f   0.08 eV/atom

***

No. 12
The following is a PBE calculation of a relaxed Pm4Er7In crystal, from Alexandria via LeMat-Bulk.

a b c (Å): 12.1451 5.8114 12.4027
angles (deg): 90.00 115.24 90.00
Closest atoms and distances in Å follow each position.
Space group C2/m (No. 12)
Unique sites:
Pm  0.1240  0.0000  0.2682 x4  6 Er 3.34-3.67, 2 Pm 3.51
Pm  0.1699  0.5000  0.1345 x4  4 Er 3.30-3.43, 2 Pm 3.51
Er  0.0000  0.0000  0.5000 x2  2 In 2.91
Er  0.0965  0.5000  0.7774 x4  1 In 3.13, 2 Er 3.37-3.40
Er  0.1321  0.0000  0.9833 x4  5 Pm 3.30-3.58, 2 Er 3.37-3.41
Er  0.2006  0.5000  0.4229 x4  1 In 2.97
In  0.0000  0.5000  0.5000 x2  6 Er 2.91-3.13

Results
ΔE_f   0.18 eV/atom

***

No. 13
The following is a PBE calculation of a relaxed Hf4CoBi crystal, from Alexandria via LeMat-Bulk.

a b c (Å): 8.0675 12.2275 5.4364
angles (deg): 90.00 109.60 90.00
Closest atoms and distances in Å follow each position.
Space group C2/c (No. 15)
Unique sites:
Hf  0.1030  0.1788  0.0616 x8  2 Co 2.69, 1 Bi 3.00
Hf  0.2282  0.4125  0.3561 x8  2 Co 2.66-2.73
Co  0.0000  0.0028  0.7500 x4  8 Hf 2.66-2.73, 2 Co 2.72
Bi  0.0000  0.3859  0.7500 x4  10 Hf 3.00-3.27

Results
ΔE_f   -0.16 eV/atom

***

No. 14
The following is a PBE calculation of a relaxed BaS crystal, from Alexandria via LeMat-Bulk.

a b c (Å): 5.4077 5.4077 6.4123
angles (deg): 90.00 90.00 120.00
Closest atoms and distances in Å follow each position.
Space group P6_3/mmc (No. 194)
Unique sites:
Ba  0.3333  0.6667  0.2500 x2  5 S 3.12-3.21
S  0.3333  0.6667  0.7500 x2  5 Ba 3.12-3.21

Results
Formation energy (no corrections)   -1982 meV/atom
Energy relative to the lowest polymorph listed for this composition   0.099 eV per atom

***

No. 15
The following is a PBE calculation of a relaxed LiFeAs2 crystal, from Alexandria via LeMat-Bulk.

a b c (Å): 2.9156 2.9156 7.0156
angles (deg): 90.00 90.00 90.00
Closest atoms and distances in Å follow each position.
Space group P4/mmm (No. 123)
Unique sites:
Li  0.0000  0.0000  0.0000 x1  8 As 2.89, 4 Li 2.92
Fe  0.0000  0.0000  0.5000 x1  8 As 2.54
As  0.5000  0.5000  0.2884 x2  4 Fe 2.54

Results
Energy relative to the lowest polymorph listed for this composition   0.013 eV per atom
ΔE_f   -0.24 eV/atom

***

Number 1: calculated total energy -3.141 eV per atom. Number 2: calculated total energy -8.565 eV per atom. Number 3: calculated total energy -5.569 eV per atom. Number 4: calculated total energy -7.535 eV per atom. Number 5: calculated total energy -3.576 eV per atom. Number 6: calculated total energy -1.309 eV per atom. Number 7: calculated total energy -5.856 eV per atom. Number 8: calculated total energy -7.971 eV per atom. Number 9: calculated total energy -5.006 eV per atom. Number 10: calculated total energy -6.307 eV per atom. Number 11: calculated total energy -7.981 eV per atom. Number 12: calculated total energy -4.295 eV per atom. Number 13: calculated total energy -8.630 eV per atom. Number 14: calculated total energy -5.007 eV per atom. Number 15: calculated total energy -5.160 eV per atom.